First-principles (PBE) data for an optimized crystal structure of Mn2SnC, as listed in Alexandria.

Calculated values
* DOS(E_F): 0.92 states/eV/atom
* DFT total energy: -6.56 eV per atom
* crystal system: cubic
* space group: Fm-3m, No. 225

Lattice parameters (Å, degrees): 5.8713 5.8713 5.8713 90.00 90.00 90.00
Last column: nearest neighbours and their distance in Å.
Sites, in units of the cell vectors:
Mn  0.2500  0.2500  0.2500  4 C 2.54, 4 Sn 2.54
Mn  0.2500  0.2500  0.7500  4 Sn 2.54, 4 C 2.54
Mn  0.2500  0.7500  0.2500  4 Sn 2.54, 4 C 2.54
Mn  0.2500  0.7500  0.7500  4 C 2.54, 4 Sn 2.54
Mn  0.7500  0.2500  0.2500  4 Sn 2.54, 4 C 2.54
Mn  0.7500  0.2500  0.7500  4 C 2.54, 4 Sn 2.54
Mn  0.7500  0.7500  0.2500  4 C 2.54, 4 Sn 2.54
Mn  0.7500  0.7500  0.7500  4 Sn 2.54, 4 C 2.54
Sn  0.0000  0.0000  0.0000  8 Mn 2.54
Sn  0.0000  0.5000  0.5000  8 Mn 2.54
Sn  0.5000  0.0000  0.5000  8 Mn 2.54
Sn  0.5000  0.5000  0.0000  8 Mn 2.54
C  0.0000  0.0000  0.5000  8 Mn 2.54
C  0.0000  0.5000  0.0000  8 Mn 2.54
C  0.5000  0.0000  0.0000  8 Mn 2.54
C  0.5000  0.5000  0.5000  8 Mn 2.54

***

First-principles (PBE) data for an optimized crystal structure of MnSn2C2, as listed in Alexandria.

Calculated values
* DOS(E_F): 0.50 states/eV/atom
* DFT total energy: -6.37 eV per atom
* crystal system: tetragonal
* excess energy over the best structure of this formula in the dataset: 0.0 meV/atom
* space group: I4/mmm, No. 139

Lattice parameters (Å, degrees): 5.4409 5.4409 5.4514 90.00 90.00 90.00
Last column: nearest neighbours and their distance in Å.
Sites, in units of the cell vectors:
Mn  0.0000  0.0000  0.0000  2 C 2.06
Mn  0.5000  0.5000  0.5000  2 C 2.06
Sn  0.0000  0.5000  0.2500  2 Sn 2.73, 4 C 2.81, 4 Mn 3.04
Sn  0.0000  0.5000  0.7500  2 Sn 2.73, 4 C 2.81, 4 Mn 3.04
Sn  0.5000  0.0000  0.2500  2 Sn 2.73, 4 C 2.81, 4 Mn 3.04
Sn  0.5000  0.0000  0.7500  2 Sn 2.73, 4 C 2.81, 4 Mn 3.04
C  0.0000  0.0000  0.3774  1 C 1.34
C  0.0000  0.0000  0.6226  1 C 1.34
C  0.5000  0.5000  0.1226  1 C 1.34
C  0.5000  0.5000  0.8774  1 C 1.34

***

First-principles (PBE) data for an optimized crystal structure of Mn2SnC, as listed in Alexandria.

Calculated values
* DOS(E_F): 0.74 states/eV/atom
* DFT total energy: -7.54 eV per atom
* crystal system: tetragonal
* space group: I-42d, No. 122

Lattice parameters (Å, degrees): 6.2554 6.2554 5.5186 90.00 90.00 90.00
Last column: nearest neighbours and their distance in Å.
Sites, in units of the cell vectors:
Mn  0.1381  0.7500  0.1250  2 C 1.92
Mn  0.2500  0.1381  0.8750  2 C 1.92
Mn  0.2500  0.3619  0.3750  2 C 1.92
Mn  0.3619  0.7500  0.6250  2 C 1.92
Mn  0.6381  0.2500  0.6250  2 C 1.92
Mn  0.7500  0.6381  0.3750  2 C 1.92
Mn  0.7500  0.8619  0.8750  2 C 1.92
Mn  0.8619  0.2500  0.1250  2 C 1.92
Sn  0.0000  0.0000  0.5000  8 Mn 2.73-2.84, 2 C 2.76
Sn  0.0000  0.5000  0.7500  8 Mn 2.73-2.84, 2 C 2.76
Sn  0.5000  0.0000  0.2500  8 Mn 2.73-2.84, 2 C 2.76
Sn  0.5000  0.5000  0.0000  8 Mn 2.73-2.84, 2 C 2.76
C  0.0000  0.0000  0.0000  4 Mn 1.92
C  0.0000  0.5000  0.2500  4 Mn 1.92
C  0.5000  0.0000  0.7500  4 Mn 1.92
C  0.5000  0.5000  0.5000  4 Mn 1.92

***

First-principles (PBE) data for an optimized crystal structure of TaMnSnC2, as listed in Alexandria.

Calculated values
* DOS(E_F): 0.45 states/eV/atom
* DFT total energy: -7.36 eV per atom
* crystal system: tetragonal
* space group: P4/mmm, No. 123

Lattice parameters (Å, degrees): 3.8682 3.8682 5.1585 90.00 90.00 90.00
Last column: nearest neighbours and their distance in Å.
Sites, in units of the cell vectors:
Ta  0.0000  0.0000  0.0000  2 Mn 2.58, 4 Sn 2.74
Mn  0.0000  0.0000  0.5000  4 C 1.93
Sn  0.5000  0.5000  0.0000  4 Ta 2.74
C  0.0000  0.5000  0.5000  2 Mn 1.93
C  0.5000  0.0000  0.5000  2 Mn 1.93

***

First-principles (PBE) data for an optimized crystal structure of Mn2TcSnC, as listed in Alexandria.

Calculated values
* DOS(E_F): 0.69 states/eV/atom
* DFT total energy: -8.38 eV per atom
* crystal system: tetragonal
* space group: P4/mmm, No. 123

Lattice parameters (Å, degrees): 3.9242 3.9242 4.1530 90.00 90.00 90.00
Last column: nearest neighbours and their distance in Å.
Sites, in units of the cell vectors:
Mn  0.0000  0.5000  0.0000  2 C 1.96
Mn  0.5000  0.0000  0.0000  2 C 1.96
Tc  0.0000  0.0000  0.5000  2 C 2.08
Sn  0.5000  0.5000  0.5000  4 Tc 2.77, 8 Mn 2.86
C  0.0000  0.0000  0.0000  4 Mn 1.96, 2 Tc 2.08

***

First-principles (PBE) data for an optimized crystal structure of MnTcSn2C, as listed in Alexandria.

Calculated values
* DOS(E_F): 0.54 states/eV/atom
* DFT total energy: -6.27 eV per atom
* crystal system: tetragonal
* space group: P4/mmm, No. 123

Lattice parameters (Å, degrees): 5.1507 5.1507 3.6235 90.00 90.00 90.00
Last column: nearest neighbours and their distance in Å.
Sites, in units of the cell vectors:
Mn  0.0000  0.0000  0.0000  2 C 1.81
Tc  0.5000  0.5000  0.5000  8 Sn 3.15
Sn  0.0000  0.5000  0.0000  2 Mn 2.58
Sn  0.5000  0.0000  0.0000  2 Mn 2.58
C  0.0000  0.0000  0.5000  2 Mn 1.81